No. 1
Na2LiCdAs2: optimized geometry, PBE.

Values from the calculation:
- DFT formation energy (kJ/mol of formula units) = -243

```
data_Na2LiCdAs2
_chemical_formula_sum 'Na8 Li4 Cd4 As8'
_space_group_name_H-M_alt 'I b a m'
_space_group_IT_number 72
_space_group_name_Hall '-I 2 2c'
_cell_length_a 5.961
_cell_length_b 14.846
_cell_length_c 6.067
_cell_angle_alpha 90.00
_cell_angle_beta 90.00
_cell_angle_gamma 90.00
loop_
_atom_site_label
_atom_site_type_symbol
_atom_site_fract_x
_atom_site_fract_y
_atom_site_fract_z
Na1 Na 0.242 0.179 0.000
Li1 Li 0.000 0.500 0.250
Cd1 Cd 0.000 0.000 0.250
As1 As 0.237 0.385 0.000
```

=====

No. 2
ScAl2Cl: optimized geometry, PBE.

Values from the calculation:
- raw formation energy (eV/atom) = -0.526

```
data_ScAl2Cl
_chemical_formula_sum 'Sc2 Al4 Cl2'
_space_group_name_H-M_alt 'C m m 2'
_space_group_IT_number 35
_cell_length_a 4.329
_cell_length_b 4.430
_cell_length_c 9.401
_cell_angle_alpha 90.00
_cell_angle_beta 90.00
_cell_angle_gamma 90.00
loop_
_space_group_symop_operation_xyz
'x,y,z'
'-x,-y,z'
'-x,y,z'
'x,-y,z'
'x+1/2,y+1/2,z'
'-x+1/2,-y+1/2,z'
'-x+1/2,y+1/2,z'
'x+1/2,-y+1/2,z'
loop_
_atom_site_label
_atom_site_type_symbol
_atom_site_fract_x
_atom_site_fract_y
_atom_site_fract_z
Sc1 Sc 0.000 0.000 0.000
Al1 Al 0.000 0.000 0.417
Al2 Al 0.000 0.500 0.217
Cl1 Cl 0.000 0.500 0.835
```

=====

Number 1: VASP energy -69.14 eV for the cell shown, total magnetic moment 0.000 Bohr magnetons per cell. Number 2: VASP energy -35.54 eV for the cell shown, total magnetic moment 0.001 Bohr magnetons per cell.